# BaTc2Mo PBE relaxed
data_BaTc2Mo
_symmetry_space_group_name_H-M 'P 1'
_symmetry_Int_Tables_number 1
_symmetry_space_group_name_Hall 'P 1'
_cell_length_a 4.740
_cell_length_b 4.740
_cell_length_c 4.740
_cell_angle_alpha 60.00
_cell_angle_beta 60.00
_cell_angle_gamma 60.00
loop_
_atom_site_label
_atom_site_fract_x
_atom_site_fract_y
_atom_site_fract_z
Ba1 0.500 0.500 0.500
Tc1 0.250 0.250 0.250
Tc2 0.750 0.750 0.750
Mo1 0.000 0.000 0.000
# ΔE_f in eV/atom: 1.148
# Crystal system: cubic